#P
# AcPaPt, optimized geometry, DFT PBE-GGA
# total moment: 0.00 Bohr magnetons per cell
# DOS at the Fermi energy: 5.02 states/eV/f.u.
data_AcPaPt
_symmetry_space_group_name_H-M 'P 1'
_symmetry_Int_Tables_number 1
_symmetry_space_group_name_Hall 'P 1'
_cell_length_a 3.7021
_cell_length_b 6.4397
_cell_length_c 7.5320
_cell_angle_alpha 108.20
_cell_angle_beta 90.00
_cell_angle_gamma 106.70
loop_
_atom_site_label
_atom_site_fract_x
_atom_site_fract_y
_atom_site_fract_z
_atom_site_occupancy
Ac1 0.6574 0.3147 0.3146 1
Ac2 0.3426 0.6853 0.6854 1
Pa1 0.3717 0.7435 0.1783 1
Pa2 0.6283 0.2565 0.8217 1
Pt1 0.0000 0.0000 0.5000 1
Pt2 0.0000 0.0000 0.0000 1

=====

#Q
# AcPaPt, optimized geometry, DFT PBE-GGA
# total moment: 0.00 Bohr magnetons per cell
# DOS at the Fermi energy: 4.88 states/eV/f.u.
data_AcPaPt
_symmetry_space_group_name_H-M 'P 1'
_symmetry_Int_Tables_number 1
_symmetry_space_group_name_Hall 'P 1'
_cell_length_a 4.7594
_cell_length_b 4.7030
_cell_length_c 4.7030
_cell_angle_alpha 120.00
_cell_angle_beta 90.00
_cell_angle_gamma 90.00
loop_
_atom_site_label
_atom_site_fract_x
_atom_site_fract_y
_atom_site_fract_z
_atom_site_occupancy
Pt1 0.1666 0.0000 0.0000 1
Pa1 0.1668 0.3333 0.6667 1
Ac1 0.6667 0.6667 0.3333 1

=====

Quick one: most stable of them? #P

=====

#P
# AcPaPt2, optimized geometry, DFT PBE-GGA
# total moment: 0.00 Bohr magnetons per cell
# DOS at the Fermi energy: 5.36 states/eV/f.u.
data_AcPaPt2
_symmetry_space_group_name_H-M 'P 1'
_symmetry_Int_Tables_number 1
_symmetry_space_group_name_Hall 'P 1'
_cell_length_a 3.6392
_cell_length_b 3.6392
_cell_length_c 7.4567
_cell_angle_alpha 90.00
_cell_angle_beta 90.00
_cell_angle_gamma 90.00
loop_
_atom_site_label
_atom_site_fract_x
_atom_site_fract_y
_atom_site_fract_z
_atom_site_occupancy
Pt1 0.0000 0.0000 0.1991 1
Pa1 0.5000 0.5000 0.0000 1
Ac1 0.5000 0.5000 0.5000 1
Pt2 0.0000 0.0000 0.8009 1

=====

#Q
# AcPaPt2, optimized geometry, DFT PBE-GGA
# total moment: 0.00 Bohr magnetons per cell
# DOS at the Fermi energy: 3.60 states/eV/f.u.
data_AcPaPt2
_symmetry_space_group_name_H-M 'P 1'
_symmetry_Int_Tables_number 1
_symmetry_space_group_name_Hall 'P 1'
_cell_length_a 4.1080
_cell_length_b 4.1080
_cell_length_c 7.6888
_cell_angle_alpha 74.51
_cell_angle_beta 74.51
_cell_angle_gamma 60.00
loop_
_atom_site_label
_atom_site_fract_x
_atom_site_fract_y
_atom_site_fract_z
_atom_site_occupancy
Pt1 0.2609 0.2609 0.2172 1
Pa1 0.0000 0.0000 0.0000 1
Ac1 0.5000 0.5000 0.5000 1
Pt2 0.7391 0.7391 0.7828 1

=====

Quick one: most stable of them? #Q

=====

#P
# AcPaRh2, optimized geometry, DFT PBE-GGA
# total moment: 0.00 Bohr magnetons per cell
# DOS at the Fermi energy: 1.72 states/eV/f.u.
data_AcPaRh2
_symmetry_space_group_name_H-M 'P 1'
_symmetry_Int_Tables_number 1
_symmetry_space_group_name_Hall 'P 1'
_cell_length_a 3.9580
_cell_length_b 3.9580
_cell_length_c 7.7685
_cell_angle_alpha 75.24
_cell_angle_beta 75.24
_cell_angle_gamma 60.00
loop_
_atom_site_label
_atom_site_fract_x
_atom_site_fract_y
_atom_site_fract_z
_atom_site_occupancy
Rh1 0.0701 0.0701 0.7896 1
Ac1 0.4967 0.4967 0.5098 1
Rh2 0.2649 0.2649 0.2054 1
Pa1 0.6683 0.6683 0.9952 1

=====

#Q
# AcPaRh2, optimized geometry, DFT PBE-GGA
# total moment: 0.00 Bohr magnetons per cell
# DOS at the Fermi energy: 4.48 states/eV/f.u.
data_AcPaRh2
_symmetry_space_group_name_H-M 'P 1'
_symmetry_Int_Tables_number 1
_symmetry_space_group_name_Hall 'P 1'
_cell_length_a 3.5348
_cell_length_b 3.5348
_cell_length_c 7.4693
_cell_angle_alpha 90.00
_cell_angle_beta 90.00
_cell_angle_gamma 90.00
loop_
_atom_site_label
_atom_site_fract_x
_atom_site_fract_y
_atom_site_fract_z
_atom_site_occupancy
Rh1 0.0000 0.0000 0.1942 1
Pa1 0.5000 0.5000 0.0000 1
Ac1 0.5000 0.5000 0.5000 1
Rh2 0.0000 0.0000 0.8058 1

=====

#R
# AcPaRh2, optimized geometry, DFT PBE-GGA
# total moment: 0.00 Bohr magnetons per cell
# DOS at the Fermi energy: 2.98 states/eV/f.u.
data_AcPaRh2
_symmetry_space_group_name_H-M 'P 1'
_symmetry_Int_Tables_number 1
_symmetry_space_group_name_Hall 'P 1'
_cell_length_a 4.0765
_cell_length_b 4.0765
_cell_length_c 7.3375
_cell_angle_alpha 73.87
_cell_angle_beta 73.87
_cell_angle_gamma 60.00
loop_
_atom_site_label
_atom_site_fract_x
_atom_site_fract_y
_atom_site_fract_z
_atom_site_occupancy
Rh1 0.2628 0.2628 0.2115 1
Ac1 0.5000 0.5000 0.5000 1
Rh2 0.7372 0.7372 0.7885 1
Pa1 0.0000 0.0000 0.0000 1

=====

Quick one: most stable of them? #R

=====

#P
# AcPaRu, optimized geometry, DFT PBE-GGA
# total moment: 0.00 Bohr magnetons per cell
# DOS at the Fermi energy: 4.09 states/eV/f.u.
data_AcPaRu
_symmetry_space_group_name_H-M 'P 1'
_symmetry_Int_Tables_number 1
_symmetry_space_group_name_Hall 'P 1'
_cell_length_a 3.9144
_cell_length_b 5.9182
_cell_length_c 14.8824
_cell_angle_alpha 90.00
_cell_angle_beta 90.00
_cell_angle_gamma 90.00
loop_
_atom_site_label
_atom_site_fract_x
_atom_site_fract_y
_atom_site_fract_z
_atom_site_occupancy
Pa1 0.5013 0.9078 0.9185 1
Ru1 0.9986 0.5592 0.4872 1
Ru2 0.5014 0.4408 0.9872 1
Ac1 0.0014 0.4143 0.8248 1
Pa2 0.4987 0.4078 0.5815 1
Ac2 0.9986 0.9143 0.6752 1
Ac3 0.5014 0.0857 0.1752 1
Pa3 0.9987 0.0922 0.4185 1
Ru3 0.0014 0.0592 0.0128 1
Pa4 0.0013 0.5922 0.0815 1
Ru4 0.4986 0.9408 0.5128 1
Ac4 0.4986 0.5857 0.3248 1

=====

#Q
# AcPaRu, optimized geometry, DFT PBE-GGA
# total moment: 0.00 Bohr magnetons per cell
# DOS at the Fermi energy: 4.36 states/eV/f.u.
data_AcPaRu
_symmetry_space_group_name_H-M 'P 1'
_symmetry_Int_Tables_number 1
_symmetry_space_group_name_Hall 'P 1'
_cell_length_a 3.8914
_cell_length_b 3.8914
_cell_length_c 6.6128
_cell_angle_alpha 90.00
_cell_angle_beta 90.00
_cell_angle_gamma 120.00
loop_
_atom_site_label
_atom_site_fract_x
_atom_site_fract_y
_atom_site_fract_z
_atom_site_occupancy
Ru1 0.3333 0.6667 0.6267 1
Pa1 0.6667 0.3333 0.4202 1
Ac1 0.0000 0.0000 0.9530 1

=====

Quick one: most stable of them? #P

=====

#P
# AcPa2Ru, optimized geometry, DFT PBE-GGA
# total moment: 0.00 Bohr magnetons per cell
# DOS at the Fermi energy: 7.75 states/eV/f.u.
data_AcPa2Ru
_symmetry_space_group_name_H-M 'P 1'
_symmetry_Int_Tables_number 1
_symmetry_space_group_name_Hall 'P 1'
_cell_length_a 3.6088
_cell_length_b 3.6088
_cell_length_c 8.0991
_cell_angle_alpha 90.00
_cell_angle_beta 90.00
_cell_angle_gamma 90.00
loop_
_atom_site_label
_atom_site_fract_x
_atom_site_fract_y
_atom_site_fract_z
_atom_site_occupancy
Pa1 0.0000 0.0000 0.1787 1
Ru1 0.5000 0.5000 0.0000 1
Ac1 0.5000 0.5000 0.5000 1
Pa2 0.0000 0.0000 0.8213 1

=====

#Q
# AcPa2Ru, optimized geometry, DFT PBE-GGA
# total moment: 0.00 Bohr magnetons per cell
# DOS at the Fermi energy: 7.15 states/eV/f.u.
data_AcPa2Ru
_symmetry_space_group_name_H-M 'P 1'
_symmetry_Int_Tables_number 1
_symmetry_space_group_name_Hall 'P 1'
_cell_length_a 4.7279
_cell_length_b 4.7279
_cell_length_c 6.8697
_cell_angle_alpha 69.87
_cell_angle_beta 69.87
_cell_angle_gamma 60.00
loop_
_atom_site_label
_atom_site_fract_x
_atom_site_fract_y
_atom_site_fract_z
_atom_site_occupancy
Ru1 0.0000 0.0000 0.0000 1
Ac1 0.5000 0.5000 0.5000 1
Pa1 0.3038 0.3038 0.0886 1
Pa2 0.6962 0.6962 0.9114 1

=====

Quick one: most stable of them? #P

=====

#P
# AcPa2S6, optimized geometry, DFT PBE-GGA
# total moment: 2.17 Bohr magnetons per cell
# DOS at the Fermi energy: 7.23 states/eV/f.u.
data_AcPa2S6
_symmetry_space_group_name_H-M 'P 1'
_symmetry_Int_Tables_number 1
_symmetry_space_group_name_Hall 'P 1'
_cell_length_a 7.1759
_cell_length_b 8.9090
_cell_length_c 8.9090
_cell_angle_alpha 77.82
_cell_angle_beta 70.15
_cell_angle_gamma 70.15
loop_
_atom_site_label
_atom_site_fract_x
_atom_site_fract_y
_atom_site_fract_z
_atom_site_occupancy
Pa1 0.4176 0.6872 0.8451 1
S1 0.3252 0.6690 0.5836 1
S2 0.4655 0.3714 0.8930 1
S3 0.6748 0.3310 0.4164 1
S4 0.5073 0.9693 0.7601 1
S5 0.1748 0.4164 0.3310 1
S6 0.5345 0.6286 0.1070 1
S7 0.0073 0.7601 0.9693 1
Pa2 0.9176 0.8451 0.6872 1
Ac1 0.7500 0.6759 0.3241 1
Pa3 0.5824 0.3128 0.1549 1
Pa4 0.0824 0.1549 0.3128 1
S8 0.9927 0.2399 0.0307 1
S9 0.8252 0.5836 0.6690 1
S10 0.0345 0.1070 0.6286 1
S11 0.9655 0.8930 0.3714 1
Ac2 0.2500 0.3241 0.6759 1
S12 0.4927 0.0307 0.2399 1

=====

#Q
# AcPa2S6, optimized geometry, DFT PBE-GGA
# total moment: 1.12 Bohr magnetons per cell
# DOS at the Fermi energy: 4.04 states/eV/f.u.
data_AcPa2S6
_symmetry_space_group_name_H-M 'P 1'
_symmetry_Int_Tables_number 1
_symmetry_space_group_name_Hall 'P 1'
_cell_length_a 5.2180
_cell_length_b 7.2883
_cell_length_c 8.2165
_cell_angle_alpha 73.10
_cell_angle_beta 71.49
_cell_angle_gamma 69.02
loop_
_atom_site_label
_atom_site_fract_x
_atom_site_fract_y
_atom_site_fract_z
_atom_site_occupancy
S1 0.6428 0.2929 0.4216 1
S2 0.3572 0.7071 0.5784 1
Pa1 0.1814 0.7396 0.8975 1
Pa2 0.8186 0.2604 0.1025 1
S3 0.9684 0.8603 0.2029 1
Ac1 0.0000 0.5000 0.5000 1
S4 0.7343 0.6423 0.8892 1
S5 0.0316 0.1397 0.7971 1
S6 0.2657 0.3577 0.1108 1

=====

Quick one: most stable of them? #P